Record 1
The following is a DFT calculation (PBE) of crystalline KMgSnBr6 at its relaxed geometry.

```
18
Lattice="7.156 0.000 0.000 -3.578 6.197 0.000 0.000 0.000 14.595" Properties=species:S:1:pos:R:3 pbc="T T T"
K 0.000 0.000 0.000
K 0.000 0.000 7.298
Mg 0.000 4.132 3.649
Mg 3.578 2.066 10.947
Sn 3.578 2.066 3.649
Sn 0.000 4.132 10.947
Br 2.172 3.919 2.051
Br -1.270 2.356 2.051
Br 2.676 0.078 9.349
Br 4.848 3.841 12.545
Br 1.270 2.356 5.247
Br -2.172 3.919 5.247
Br 4.480 0.078 12.545
Br 0.902 6.119 5.247
Br 5.750 2.278 9.349
Br -0.902 6.119 2.051
Br 2.308 3.841 9.349
Br 1.406 2.278 12.545
```

Values from the calculation:
For the density of states at the Fermi level, the calculation gives 12.5 states/eV per cell. The raw formation energy comes out at -1157.4 meV per atom. Its total magnetization is 0.00 Bohr magnetons per cell. The value obtained for the calculated volume is 323.6 Å³/f.u.

Record 2
The following is a DFT calculation (PBE) of crystalline Sr2ZrHg at its relaxed geometry.

```
4
Lattice="4.884 0.000 0.000 0.000 5.108 0.000 0.000 0.000 5.108" Properties=species:S:1:pos:R:3 pbc="T T T"
Hg 2.442 0.000 2.554
Sr 0.000 0.000 0.000
Sr 0.000 2.554 2.554
Zr 2.442 2.554 0.000
```

Values from the calculation:
For the density of states at the Fermi level, the calculation gives 5.4 states/eV per cell. Its total magnetization is 1.69 Bohr magnetons per cell. The formation energy comes out at 0.288 eV/atom. The value obtained for the calculated volume is 127.4 Å³/f.u.

Record 3
The following is a DFT calculation (PBE) of crystalline Tb2NdHo3 at its relaxed geometry.

```
12
Lattice="-1.126 0.287 -7.030 3.756 -4.818 -0.798 -6.204 -5.592 4.376" Properties=species:S:1:pos:R:3 pbc="T T T"
Tb -0.778 -4.452 -4.569
Tb -2.375 -2.114 -2.415
Tb -1.198 -8.009 -1.036
Tb -2.795 -5.672 1.118
Nd 1.832 -3.363 -6.747
Nd 0.798 -1.169 -1.081
Ho 0.237 -1.026 -4.586
Ho 2.394 -3.506 -3.242
Ho -1.813 -2.272 1.103
Ho -3.356 -5.514 -2.393
Ho -0.218 -4.609 -1.059
Ho -1.760 -7.851 -4.555
```

Values from the calculation:
For the density of states at the Fermi level, the calculation gives 16.5 states/eV per cell. Its relative energy among the computed polymorphs is 0 meV per atom. Its total magnetization is 0.00 Bohr magnetons per cell. The formation energy comes out at 0.019 eV/atom. The value obtained for the calculated volume is 191.6 Å³/f.u.

Record 4
The following is a DFT calculation (PBE) of crystalline Nd4NiHg at its relaxed geometry.

```
24
Lattice="-9.600 0.278 2.146 -6.586 -3.441 -6.452 -4.860 -8.343 1.905" Properties=species:S:1:pos:R:3 pbc="T T T"
Nd -8.431 -4.609 -0.961
Nd -12.249 -4.498 -0.108
Nd -11.050 -5.978 -3.527
Nd -10.364 -7.927 -0.204
Nd -13.616 -9.621 -0.611
Nd -17.954 -7.638 -2.989
Nd -14.277 -7.744 -3.811
Nd -17.293 -9.515 0.211
Nd -15.432 -6.320 -0.519
Nd -16.138 -10.939 -3.082
Nd -6.984 -7.372 0.741
Nd -14.063 -4.135 -3.141
Nd -8.063 -4.308 -4.482
Nd -12.984 -7.198 2.082
Nd -9.947 -1.984 0.891
Nd -11.100 -9.522 -3.291
Ni -12.779 -6.986 -1.457
Ni -8.663 -7.105 -2.377
Ni -9.955 -5.511 1.309
Ni -10.696 -3.410 -2.274
Hg -3.501 -1.914 -0.399
Hg -6.713 -1.821 0.319
Hg -5.705 -3.065 -2.558
Hg -5.127 -4.705 0.238
```

Values from the calculation:
For the density of states at the Fermi level, the calculation gives 17.9 states/eV per cell. Its relative energy among the computed polymorphs is 0 meV per atom. Its total magnetization is 0.00 Bohr magnetons per cell. The formation energy comes out at -0.288 eV/atom. The value obtained for the calculated volume is 168.5 Å³/f.u.

Record 5
The following is a DFT calculation (PBE) of crystalline KNi2Sb at its relaxed geometry.

```
8
Lattice="5.053 0.000 0.000 0.000 5.053 0.000 2.526 2.526 8.384" Properties=species:S:1:pos:R:3 pbc="T T T"
Sb 0.000 0.000 0.000
Sb 5.053 2.526 4.192
K 2.526 2.526 0.000
K 2.526 5.053 4.192
Ni 5.054 1.263 2.096
Ni 5.051 3.789 2.096
Ni 3.789 2.525 6.288
Ni 6.316 2.528 6.288
```

Values from the calculation:
For the density of states at the Fermi level, the calculation gives 7.3 states/eV per cell. The raw formation energy comes out at 190.3 meV per atom. Its total magnetization is 1.75 Bohr magnetons per cell. The value obtained for the calculated volume is 107.0 Å³/f.u.

Record 6
The following is a DFT calculation (PBE) of crystalline Zr2AlP at its relaxed geometry.

```
4
Lattice="-2.528 -2.072 -0.057 2.380 -2.230 -0.218 0.217 -0.461 7.070" Properties=species:S:1:pos:R:3 pbc="T T T"
P 0.083 -2.485 4.983
Al 0.118 -0.250 3.836
Zr 0.206 -0.438 6.717
Zr -0.013 -2.281 1.864
```

Values from the calculation:
For the density of states at the Fermi level, the calculation gives 3.3 states/eV per cell. Its relative energy among the computed polymorphs is 436 meV per atom. Its total magnetization is 0.00 Bohr magnetons per cell. The formation energy comes out at -0.405 eV/atom. The value obtained for the calculated volume is 75.1 Å³/f.u.

Record 7
The following is a DFT calculation (PBE) of crystalline Tm5TlAu2 at its relaxed geometry.

```
16
Lattice="-5.924 4.860 2.236 -5.185 -6.037 -0.615 6.626 -0.965 5.407" Properties=species:S:1:pos:R:3 pbc="T T T"
Tm -1.943 -2.425 4.579
Tm -7.956 -2.348 2.725
Tm 0.000 0.000 0.000
Tm -5.555 -0.589 0.810
Tm 3.474 0.205 4.303
Tm -0.460 1.504 5.306
Tm 1.991 -3.724 3.576
Tm -4.023 -3.647 1.722
Tm -6.474 1.581 3.452
Tm -2.540 0.283 2.449
Tl -5.019 -1.366 3.919
Tl 0.536 -0.777 3.109
Au -2.694 -1.524 0.084
Au -4.486 2.268 1.340
Au -6.623 -3.446 0.280
Au -8.415 0.346 1.537
```

Values from the calculation:
For the density of states at the Fermi level, the calculation gives 22.4 states/eV per cell. Its total magnetization is 0.00 Bohr magnetons per cell. The formation energy comes out at -0.553 eV/atom. The value obtained for the calculated volume is 207.0 Å³/f.u.

Record 8
The following is a DFT calculation (PBE) of crystalline ScRh3Br at its relaxed geometry.

```
5
Lattice="-2.335 3.947 -0.351 -3.817 -2.350 -1.030 -1.064 -0.232 4.468" Properties=species:S:1:pos:R:3 pbc="T T T"
Sc -3.608 0.683 1.543
Rh -1.908 -1.175 -0.515
Rh -0.532 -0.116 2.234
Rh -1.168 1.973 -0.176
Br 0.000 0.000 0.000
```

Values from the calculation:
For the density of states at the Fermi level, the calculation gives 4.6 states/eV per cell. Its relative energy among the computed polymorphs is 0 meV per atom. The raw formation energy comes out at 462.6 meV per atom. Its total magnetization is 0.00 Bohr magnetons per cell. The value obtained for the calculated volume is 97.3 Å³/f.u.